The following is a GGA-PBE calculation of a relaxed structure of FeAs3H, from the Alexandria database. Values from VASP.

Results
- symmetry = Pm-3m (221)
- offset from the most stable computed form (meV per atom) = 0

Quantum ESPRESSO input file:
```
&SYSTEM
  ibrav = 0, nat = 5, ntyp = 3
/
ATOMIC_SPECIES
Fe 55.84 Fe.upf
As 74.92 As.upf
H 1.01 H.upf
ATOMIC_POSITIONS crystal
Fe 0.000 0.000 0.000
As 0.000 0.000 0.500
As 0.000 0.500 0.000
As 0.500 0.000 0.000
H 0.500 0.500 0.500
CELL_PARAMETERS angstrom
4.519 0.000 0.000
0.000 4.519 0.000
0.000 0.000 4.519
```

The following is a GGA-PBE calculation of a relaxed structure of Fe2AsH, from the Alexandria database. Values from VASP.

Results
- symmetry = Fm-3m (225)
- offset from the most stable computed form (meV per atom) = 302

Quantum ESPRESSO input file:
```
&SYSTEM
  ibrav = 0, nat = 4, ntyp = 3
/
ATOMIC_SPECIES
Fe 55.84 Fe.upf
As 74.92 As.upf
H 1.01 H.upf
ATOMIC_POSITIONS crystal
Fe 0.250 0.250 0.250
Fe 0.750 0.750 0.750
As 0.000 0.000 0.000
H 0.500 0.500 0.500
CELL_PARAMETERS angstrom
0.000 2.730 2.730
2.730 0.000 2.730
2.730 2.730 0.000
```

The following is a GGA-PBE calculation of a relaxed structure of FeAsH2, from the Alexandria database. Values from VASP.

Results
- symmetry = Fm-3m (225)
- offset from the most stable computed form (meV per atom) = 334

Quantum ESPRESSO input file:
```
&SYSTEM
  ibrav = 0, nat = 4, ntyp = 3
/
ATOMIC_SPECIES
Fe 55.84 Fe.upf
As 74.92 As.upf
H 1.01 H.upf
ATOMIC_POSITIONS crystal
Fe 0.000 0.000 0.000
As 0.500 0.500 0.500
H 0.250 0.250 0.250
H 0.750 0.750 0.750
CELL_PARAMETERS angstrom
0.000 2.618 2.618
2.618 0.000 2.618
2.618 2.618 0.000
```

The following is a GGA-PBE calculation of a relaxed structure of FeAs2H, from the Alexandria database. Values from VASP.

Results
- symmetry = Fm-3m (225)
- offset from the most stable computed form (meV per atom) = 0

Quantum ESPRESSO input file:
```
&SYSTEM
  ibrav = 0, nat = 4, ntyp = 3
/
ATOMIC_SPECIES
Fe 55.84 Fe.upf
As 74.92 As.upf
H 1.01 H.upf
ATOMIC_POSITIONS crystal
Fe 0.000 0.000 0.000
As 0.250 0.250 0.250
As 0.750 0.750 0.750
H 0.500 0.500 0.500
CELL_PARAMETERS angstrom
0.000 2.916 2.916
2.916 0.000 2.916
2.916 2.916 0.000
```

The following is a GGA-PBE calculation of a relaxed structure of FeAsH, from the Alexandria database. Values from VASP.

Results
- symmetry = Pmn2_1 (31)
- offset from the most stable computed form (meV per atom) = 0

Quantum ESPRESSO input file:
```
&SYSTEM
  ibrav = 0, nat = 18, ntyp = 3
/
ATOMIC_SPECIES
Fe 55.84 Fe.upf
As 74.92 As.upf
H 1.01 H.upf
ATOMIC_POSITIONS crystal
Fe 0.000 0.029 0.000
Fe 0.146 0.534 0.248
Fe 0.354 0.466 0.748
Fe 0.500 0.971 0.500
Fe 0.646 0.466 0.748
Fe 0.854 0.534 0.248
As 0.000 0.818 0.499
As 0.154 0.310 0.752
As 0.346 0.690 0.252
As 0.500 0.182 0.999
As 0.654 0.690 0.252
As 0.846 0.310 0.752
H 0.000 0.302 0.262
H 0.128 0.821 0.015
H 0.372 0.179 0.515
H 0.500 0.698 0.762
H 0.628 0.179 0.515
H 0.872 0.821 0.015
CELL_PARAMETERS angstrom
10.542 0.000 0.000
0.000 4.619 0.000
0.000 0.000 4.249
```

The following is a GGA-PBE calculation of a relaxed structure of Fe2AsH, from the Alexandria database. Values from VASP.

Results
- symmetry = R3m (160)
- offset from the most stable computed form (meV per atom) = 0

Quantum ESPRESSO input file:
```
&SYSTEM
  ibrav = 0, nat = 4, ntyp = 3
/
ATOMIC_SPECIES
Fe 55.84 Fe.upf
As 74.92 As.upf
H 1.01 H.upf
ATOMIC_POSITIONS crystal
Fe 0.000 0.000 0.000
Fe 0.212 0.212 0.212
As 0.774 0.774 0.774
H 0.597 0.597 0.597
CELL_PARAMETERS angstrom
1.472 0.850 5.484
-1.472 0.850 5.484
0.000 -1.699 5.484
```

The following is a GGA-PBE calculation of a relaxed structure of FeAs3H, from the Alexandria database. Values from VASP.

Results
- symmetry = Pm-3m (221)
- offset from the most stable computed form (meV per atom) = 30

Quantum ESPRESSO input file:
```
&SYSTEM
  ibrav = 0, nat = 5, ntyp = 3
/
ATOMIC_SPECIES
Fe 55.84 Fe.upf
As 74.92 As.upf
H 1.01 H.upf
ATOMIC_POSITIONS crystal
Fe 0.000 0.000 0.000
As 0.000 0.500 0.500
As 0.500 0.000 0.500
As 0.500 0.500 0.000
H 0.500 0.500 0.500
CELL_PARAMETERS angstrom
4.115 0.000 0.000
0.000 4.115 0.000
0.000 0.000 4.115
```

The following is a GGA-PBE calculation of a relaxed structure of FeAsH2, from the Alexandria database. Values from VASP.

Results
- symmetry = I-42d (122)
- offset from the most stable computed form (meV per atom) = 0

Quantum ESPRESSO input file:
```
&SYSTEM
  ibrav = 0, nat = 8, ntyp = 3
/
ATOMIC_SPECIES
Fe 55.84 Fe.upf
As 74.92 As.upf
H 1.01 H.upf
ATOMIC_POSITIONS crystal
Fe 0.000 0.000 0.000
Fe 0.750 0.250 0.500
As 0.250 0.750 0.500
As 0.500 0.500 0.000
H 0.375 0.123 0.248
H 0.873 0.625 0.748
H 0.875 0.127 0.752
H 0.877 0.125 0.252
CELL_PARAMETERS angstrom
-1.875 1.875 5.293
1.875 -1.875 5.293
1.875 1.875 -5.293
```

The following is a GGA-PBE calculation of a relaxed structure of FeAsH, from the Alexandria database. Values from VASP.

Results
- symmetry = P4/nmm (129)
- offset from the most stable computed form (meV per atom) = 72

Quantum ESPRESSO input file:
```
&SYSTEM
  ibrav = 0, nat = 6, ntyp = 3
/
ATOMIC_SPECIES
Fe 55.84 Fe.upf
As 74.92 As.upf
H 1.01 H.upf
ATOMIC_POSITIONS crystal
Fe 0.250 0.750 0.000
Fe 0.750 0.250 0.000
As 0.250 0.250 0.219
As 0.750 0.750 0.781
H 0.250 0.250 0.479
H 0.750 0.750 0.521
CELL_PARAMETERS angstrom
3.772 0.000 0.000
0.000 3.772 0.000
0.000 0.000 5.926
```

The following is a GGA-PBE calculation of a relaxed structure of Fe2AsH, from the Alexandria database. Values from VASP.

Results
- symmetry = R-3m (166)
- offset from the most stable computed form (meV per atom) = 158

Quantum ESPRESSO input file:
```
&SYSTEM
  ibrav = 0, nat = 4, ntyp = 3
/
ATOMIC_SPECIES
Fe 55.84 Fe.upf
As 74.92 As.upf
H 1.01 H.upf
ATOMIC_POSITIONS crystal
Fe 0.140 0.140 0.140
Fe 0.860 0.860 0.860
As 0.500 0.500 0.500
H 0.000 0.000 0.000
CELL_PARAMETERS angstrom
2.036 1.176 3.868
-2.036 1.176 3.868
0.000 -2.351 3.868
```

The following is a GGA-PBE calculation of a relaxed structure of Fe2AsH, from the Alexandria database. Values from VASP.

Results
- symmetry = I-42d (122)
- offset from the most stable computed form (meV per atom) = 131

Quantum ESPRESSO input file:
```
&SYSTEM
  ibrav = 0, nat = 8, ntyp = 3
/
ATOMIC_SPECIES
Fe 55.84 Fe.upf
As 74.92 As.upf
H 1.01 H.upf
ATOMIC_POSITIONS crystal
Fe 0.375 0.238 0.363
Fe 0.762 0.125 0.137
Fe 0.875 0.012 0.637
Fe 0.988 0.625 0.863
As 0.250 0.750 0.500
As 0.500 0.500 0.000
H 0.000 0.000 0.000
H 0.750 0.250 0.500
CELL_PARAMETERS angstrom
-2.287 2.287 4.461
2.287 -2.287 4.461
2.287 2.287 -4.461
```

The following is a GGA-PBE calculation of a relaxed structure of LiFe2AsH, from the Alexandria database. Values from VASP.

Results
- symmetry = P4/mmm (123)
- DFT total energy (eV per formula unit) = -27.3

Quantum ESPRESSO input file:
```
&SYSTEM
  ibrav = 0, nat = 5, ntyp = 4
/
ATOMIC_SPECIES
Li 6.94 Li.upf
Fe 55.84 Fe.upf
As 74.92 As.upf
H 1.01 H.upf
ATOMIC_POSITIONS crystal
Li 0.000 0.000 0.000
Fe 0.000 0.500 0.500
Fe 0.500 0.000 0.500
As 0.500 0.500 0.000
H 0.000 0.000 0.500
CELL_PARAMETERS angstrom
3.631 0.000 0.000
0.000 3.631 0.000
0.000 0.000 3.719
```

The following is a GGA-PBE calculation of a relaxed structure of Li2FeAsH, from the Alexandria database. Values from VASP.

Results
- symmetry = P4/mmm (123)
- DFT total energy (eV per formula unit) = -21.6

Quantum ESPRESSO input file:
```
&SYSTEM
  ibrav = 0, nat = 5, ntyp = 4
/
ATOMIC_SPECIES
Li 6.94 Li.upf
Fe 55.84 Fe.upf
As 74.92 As.upf
H 1.01 H.upf
ATOMIC_POSITIONS crystal
Li 0.000 0.500 0.000
Li 0.500 0.000 0.000
Fe 0.000 0.000 0.500
As 0.500 0.500 0.500
H 0.000 0.000 0.000
CELL_PARAMETERS angstrom
3.749 0.000 0.000
0.000 3.749 0.000
0.000 0.000 3.873
```

The following is a GGA-PBE calculation of a relaxed structure of Mn2FeAsH, from the Alexandria database. Values from VASP.

Results
- symmetry = P4/mmm (123)
- DFT total energy (eV per formula unit) = -35.0

Quantum ESPRESSO input file:
```
&SYSTEM
  ibrav = 0, nat = 5, ntyp = 4
/
ATOMIC_SPECIES
Mn 54.94 Mn.upf
Fe 55.84 Fe.upf
As 74.92 As.upf
H 1.01 H.upf
ATOMIC_POSITIONS crystal
Mn 0.000 0.500 0.000
Mn 0.500 0.000 0.000
Fe 0.000 0.000 0.500
As 0.500 0.500 0.500
H 0.000 0.000 0.000
CELL_PARAMETERS angstrom
3.638 0.000 0.000
0.000 3.638 0.000
0.000 0.000 3.747
```

The following is a GGA-PBE calculation of a relaxed structure of FeNi2AsH, from the Alexandria database. Values from VASP.

Results
- symmetry = P4/mmm (123)
- DFT total energy (eV per formula unit) = -28.2

Quantum ESPRESSO input file:
```
&SYSTEM
  ibrav = 0, nat = 5, ntyp = 4
/
ATOMIC_SPECIES
Fe 55.84 Fe.upf
Ni 58.69 Ni.upf
As 74.92 As.upf
H 1.01 H.upf
ATOMIC_POSITIONS crystal
Fe 0.000 0.000 0.000
Ni 0.000 0.500 0.500
Ni 0.500 0.000 0.500
As 0.500 0.500 0.000
H 0.000 0.000 0.500
CELL_PARAMETERS angstrom
3.600 0.000 0.000
0.000 3.600 0.000
0.000 0.000 3.700
```